i) Below is TaCuCl after structural relaxation, with properties calculated at the GGA-PBE level.

Calculated values
space-group type	No. 156

a = 3.046 Å, b = 3.046 Å, c = 7.042 Å
α = 90.00°, β = 90.00°, γ = 120.00°
Fractional positions:
Cl  0.000  0.000  0.935
Cu  0.667  0.333  0.389
Ta  0.333  0.667  0.676

***

ii) Below is TaCuCl after structural relaxation, with properties calculated at the GGA-PBE level.

Calculated values
space-group type	No. 216

a = 4.107 Å, b = 4.107 Å, c = 4.107 Å
α = 60.00°, β = 60.00°, γ = 60.00°
Fractional positions:
Cl  0.750  0.750  0.750
Cu  0.000  0.000  0.000
Ta  0.500  0.500  0.500

***

Which of them is least stable? Easy: ii).

***

i) Below is TaCuCl after structural relaxation, with properties calculated at the GGA-PBE level.

Calculated values
space-group type	No. 42

a = 7.207 Å, b = 7.181 Å, c = 2.943 Å
α = 78.70°, β = 77.70°, γ = 23.60°
Fractional positions:
Cl  0.044  0.044  0.956
Cu  0.289  0.289  0.711
Ta  0.667  0.667  0.333

***

ii) Below is TaCuCl after structural relaxation, with properties calculated at the GGA-PBE level.

Calculated values
space-group type	No. 216

a = 4.243 Å, b = 4.243 Å, c = 4.243 Å
α = 60.00°, β = 60.00°, γ = 60.00°
Fractional positions:
Cl  0.000  0.000  0.000
Cu  0.500  0.500  0.500
Ta  0.750  0.750  0.750

***

iii) Below is TaCuCl after structural relaxation, with properties calculated at the GGA-PBE level.

Calculated values
space-group type	No. 187

a = 4.316 Å, b = 4.316 Å, c = 2.960 Å
α = 90.00°, β = 90.00°, γ = 120.00°
Fractional positions:
Cl  0.000  0.000  0.833
Cu  0.333  0.667  0.334
Ta  0.667  0.333  0.833

***

Which of them is least stable? Easy: ii).

***

i) Below is TaCuCl6 after structural relaxation, with properties calculated at the GGA-PBE level.

Calculated values
space-group type	No. 2

a = 7.373 Å, b = 6.382 Å, c = 9.025 Å
α = 51.83°, β = 49.42°, γ = 70.85°
Fractional positions:
Ta  0.000  0.000  0.000
Cu  0.500  0.500  0.500
Cl  0.139  0.452  0.630
Cl  0.847  0.876  0.901
Cl  0.633  0.152  0.190
Cl  0.153  0.124  0.099
Cl  0.861  0.548  0.370
Cl  0.367  0.848  0.810

***

ii) Below is TaCuCl6 after structural relaxation, with properties calculated at the GGA-PBE level.

Calculated values
space-group type	No. 12

a = 8.865 Å, b = 6.005 Å, c = 6.756 Å
α = 91.41°, β = 111.82°, γ = 129.79°
Fractional positions:
Ta  0.000  0.500  0.000
Cu  0.000  0.000  0.000
Cl  0.005  0.272  0.712
Cl  0.292  0.560  0.288
Cl  0.708  0.440  0.712
Cl  0.995  0.728  0.288
Cl  0.278  0.006  0.000
Cl  0.722  0.994  0.000

***

Which of them is least stable? Easy: i).

***

i) Below is Tb2CuCl after structural relaxation, with properties calculated at the GGA-PBE level.

Calculated values
space-group type	No. 166

a = 3.994 Å, b = 3.994 Å, c = 7.233 Å
α = 73.97°, β = 73.97°, γ = 60.00°
Fractional positions:
Tb  0.257  0.257  0.229
Tb  0.743  0.743  0.771
Cu  0.000  0.000  0.000
Cl  0.500  0.500  0.500

***

ii) Below is Tb2CuCl after structural relaxation, with properties calculated at the GGA-PBE level.

Calculated values
space-group type	No. 160

a = 3.897 Å, b = 3.897 Å, c = 7.751 Å
α = 75.44°, β = 75.44°, γ = 60.00°
Fractional positions:
Tb  0.073  0.073  0.782
Tb  0.261  0.261  0.216
Cu  0.668  0.668  0.997
Cl  0.498  0.498  0.505

***

Which of them is least stable? Easy: ii).

***

i) Below is Cu2TcCl after structural relaxation, with properties calculated at the GGA-PBE level.

Calculated values
space-group type	No. 225

a = 4.475 Å, b = 4.475 Å, c = 4.475 Å
α = 60.00°, β = 60.00°, γ = 60.00°
Fractional positions:
Tc  0.500  0.500  0.500
Cu  0.250  0.250  0.250
Cu  0.750  0.750  0.750
Cl  0.000  0.000  0.000

***

ii) Below is Cu2TcCl after structural relaxation, with properties calculated at the GGA-PBE level.

Calculated values
space-group type	No. 47

a = 2.778 Å, b = 4.286 Å, c = 4.761 Å
α = 90.00°, β = 90.00°, γ = 90.00°
Fractional positions:
Tc  0.500  0.000  0.500
Cu  0.000  0.000  0.000
Cu  0.500  0.500  0.000
Cl  0.000  0.500  0.500

***

Which of them is least stable? Easy: i).

***

i) Below is Cu2TcCl after structural relaxation, with properties calculated at the GGA-PBE level.

Calculated values
space-group type	No. 47

a = 2.806 Å, b = 2.821 Å, c = 7.547 Å
α = 90.00°, β = 90.00°, γ = 90.00°
Fractional positions:
Tc  0.500  0.250  0.250
Cu  0.000  0.751  0.014
Cu  0.000  0.749  0.486
Cl  0.500  0.750  0.750

***

ii) Below is Cu2TcCl after structural relaxation, with properties calculated at the GGA-PBE level.

Calculated values
space-group type	No. 35

a = 2.837 Å, b = 2.837 Å, c = 8.550 Å
α = 90.00°, β = 90.00°, γ = 119.91°
Fractional positions:
Tc  0.000  0.000  0.503
Cu  0.000  0.000  0.015
Cu  0.500  0.500  0.248
Cl  0.500  0.500  0.734

***

iii) Below is Cu2TcCl after structural relaxation, with properties calculated at the GGA-PBE level.

Calculated values
space-group type	No. 8

a = 4.689 Å, b = 4.689 Å, c = 4.986 Å
α = 68.15°, β = 68.15°, γ = 34.20°
Fractional positions:
Tc  0.511  0.511  0.577
Cu  0.987  0.987  0.089
Cu  0.244  0.244  0.162
Cl  0.759  0.759  0.672

***

iv) Below is Cu2TcCl after structural relaxation, with properties calculated at the GGA-PBE level.

Calculated values
space-group type	No. 99

a = 2.871 Å, b = 2.871 Å, c = 7.773 Å
α = 90.00°, β = 90.00°, γ = 90.00°
Fractional positions:
Tc  0.000  0.000  0.480
Cu  0.000  0.000  0.080
Cu  0.500  0.500  0.261
Cl  0.500  0.500  0.679

***

Which of them is least stable? Easy: iii).

***

i) Below is Cu2TcCl after structural relaxation, with properties calculated at the GGA-PBE level.

Calculated values
space-group type	No. 139

a = 5.293 Å, b = 5.293 Å, c = 5.293 Å
α = 140.68°, β = 140.68°, γ = 56.82°
Fractional positions:
Tc  0.250  0.750  0.500
Cu  0.000  0.000  0.000
Cu  0.500  0.500  0.000
Cl  0.750  0.250  0.500

***

ii) Below is Cu2TcCl after structural relaxation, with properties calculated at the GGA-PBE level.

Calculated values
space-group type	No. 216

a = 4.398 Å, b = 4.398 Å, c = 4.398 Å
α = 60.00°, β = 60.00°, γ = 60.00°
Fractional positions:
Tc  0.750  0.750  0.750
Cu  0.000  0.000  0.000
Cu  0.250  0.250  0.250
Cl  0.500  0.500  0.500

***

Which of them is least stable? Easy: ii).

***

i) Below is CuTcCl after structural relaxation, with properties calculated at the GGA-PBE level.

Calculated values
space-group type	No. 156

a = 2.936 Å, b = 2.936 Å, c = 6.196 Å
α = 90.00°, β = 90.00°, γ = 120.00°
Fractional positions:
Tc  0.333  0.667  0.676
Cu  0.667  0.333  0.358
Cl  0.000  0.000  0.966

***

ii) Below is CuTcCl after structural relaxation, with properties calculated at the GGA-PBE level.

Calculated values
space-group type	No. 187

a = 4.315 Å, b = 4.315 Å, c = 2.722 Å
α = 90.00°, β = 90.00°, γ = 120.00°
Fractional positions:
Tc  0.333  0.667  0.834
Cu  0.667  0.333  0.333
Cl  0.000  0.000  0.834

***

Which of them is least stable? Easy: ii).

***

i) Below is CuTcCl after structural relaxation, with properties calculated at the GGA-PBE level.

Calculated values
space-group type	No. 107

a = 6.643 Å, b = 6.643 Å, c = 6.643 Å
α = 154.78°, β = 154.78°, γ = 35.96°
Fractional positions:
Tc  0.666  0.666  0.000
Cu  0.292  0.292  0.000
Cl  0.042  0.042  0.000

***

ii) Below is CuTcCl after structural relaxation, with properties calculated at the GGA-PBE level.

Calculated values
space-group type	No. 216

a = 4.146 Å, b = 4.146 Å, c = 4.146 Å
α = 60.00°, β = 60.00°, γ = 60.00°
Fractional positions:
Tc  0.750  0.750  0.750
Cu  0.500  0.500  0.500
Cl  0.000  0.000  0.000

***

Which of them is least stable? Easy: ii).

***

i) Below is CuTcCl after structural relaxation, with properties calculated at the GGA-PBE level.

Calculated values
space-group type	No. 216

a = 4.349 Å, b = 4.349 Å, c = 4.349 Å
α = 60.00°, β = 60.00°, γ = 60.00°
Fractional positions:
Tc  0.000  0.000  0.000
Cu  0.750  0.750  0.750
Cl  0.500  0.500  0.500

***

ii) Below is CuTcCl after structural relaxation, with properties calculated at the GGA-PBE level.

Calculated values
space-group type	No. 42

a = 6.819 Å, b = 6.476 Å, c = 2.953 Å
α = 83.76°, β = 70.75°, γ = 25.50°
Fractional positions:
Tc  0.664  0.664  0.336
Cu  0.330  0.330  0.670
Cl  0.005  0.005  0.995

***

Which of them is least stable? Easy: i).

***

i) Below is CuTcCl6 after structural relaxation, with properties calculated at the GGA-PBE level.

Calculated values
space-group type	No. 12

a = 6.834 Å, b = 6.515 Å, c = 6.641 Å
α = 102.75°, β = 104.91°, γ = 121.63°
Fractional positions:
Cu  0.000  0.000  0.000
Tc  0.500  0.000  0.000
Cl  0.899  0.141  0.281
Cl  0.618  0.860  0.719
Cl  0.382  0.140  0.281
Cl  0.101  0.859  0.719
Cl  0.292  0.583  0.000
Cl  0.708  0.417  0.000

***

ii) Below is CuTcCl6 after structural relaxation, with properties calculated at the GGA-PBE level.

Calculated values
space-group type	No. 2

a = 6.082 Å, b = 6.088 Å, c = 6.528 Å
α = 62.11°, β = 62.14°, γ = 60.04°
Fractional positions:
Cu  0.500  0.500  0.500
Tc  0.000  0.000  0.000
Cl  0.091  0.395  0.754
Cl  0.760  0.091  0.754
Cl  0.605  0.240  0.245
Cl  0.240  0.909  0.246
Cl  0.909  0.605  0.246
Cl  0.395  0.760  0.755

***

Which of them is least stable? Easy: ii).

***

i) Below is CuTc3Cl after structural relaxation, with properties calculated at the GGA-PBE level.

Calculated values
space-group type	No. 221

a = 4.317 Å, b = 4.317 Å, c = 4.317 Å
α = 90.00°, β = 90.00°, γ = 90.00°
Fractional positions:
Tc  0.000  0.500  0.000
Tc  0.000  0.000  0.500
Tc  0.500  0.000  0.000
Cu  0.500  0.500  0.500
Cl  0.000  0.000  0.000

***

ii) Below is CuTc3Cl after structural relaxation, with properties calculated at the GGA-PBE level.

Calculated values
space-group type	No. 221

a = 4.641 Å, b = 4.641 Å, c = 4.641 Å
α = 90.00°, β = 90.00°, γ = 90.00°
Fractional positions:
Tc  0.000  0.500  0.000
Tc  0.000  0.000  0.500
Tc  0.500  0.000  0.000
Cu  0.000  0.000  0.000
Cl  0.500  0.500  0.500

***

Which of them is least stable? Easy: ii).

***

i) Below is CuTcCl3 after structural relaxation, with properties calculated at the GGA-PBE level.

Calculated values
space-group type	No. 221

a = 4.884 Å, b = 4.884 Å, c = 4.884 Å
α = 90.00°, β = 90.00°, γ = 90.00°
Fractional positions:
Tc  0.000  0.000  0.000
Cu  0.500  0.500  0.500
Cl  0.000  0.500  0.000
Cl  0.000  0.000  0.500
Cl  0.500  0.000  0.000

***

ii) Below is CuTcCl3 after structural relaxation, with properties calculated at the GGA-PBE level.

Calculated values
space-group type	No. 221

a = 4.757 Å, b = 4.757 Å, c = 4.757 Å
α = 90.00°, β = 90.00°, γ = 90.00°
Fractional positions:
Tc  0.500  0.500  0.500
Cu  0.000  0.000  0.000
Cl  0.000  0.500  0.000
Cl  0.000  0.000  0.500
Cl  0.500  0.000  0.000

***

Which of them is least stable? Easy: ii).